A relaxed K4Dy3SiO8 crystal. Source: Alexandria via LeMat-Bulk, functional GGA-PBE.

Properties
space group	R-3m, No. 166
formation energy from raw total energies	-2.3988	eV/atom
D(E_F)	1.0	states/eV/cell
VASP energy	-0.4670	Ry/atom

a = 7.3646 Å, b = 7.3646 Å, c = 7.3646 Å
α = 54.26°, β = 54.26°, γ = 54.26°
Element x y z (fractional)
K 0.0000 0.0000 0.0000
K 0.0000 0.5000 0.5000
K 0.5000 0.0000 0.5000
K 0.5000 0.5000 0.0000
Dy 0.0000 0.0000 0.5000
Dy 0.0000 0.5000 0.0000
Dy 0.5000 0.0000 0.0000
Si 0.5000 0.5000 0.5000
O 0.2307 0.2307 0.2307
O 0.2752 0.6954 0.6954
O 0.3046 0.3046 0.7248
O 0.3046 0.7248 0.3046
O 0.6954 0.2753 0.6954
O 0.6954 0.6954 0.2753
O 0.7247 0.3046 0.3046
O 0.7693 0.7693 0.7693